The following is a PBE-GGA calculation of a relaxed structure of NaEuLu, from Alexandria via LeMat-Bulk.

POSCAR file:
```
NaEuLu
1.0
3.623 0.000 0.000
-1.811 3.138 0.000
0.000 0.000 9.276
Na Eu Lu
1 1 1
Cartesian
0.000 0.000 0.000
1.811 1.046 3.322
0.000 2.092 6.232
```

Output
- M_tot: 8.06 μB per formula unit
- Crystal system: trigonal
- SG: P3m1 (156)
- Raw total energy: -5.188 eV per atom

---

The following is a PBE-GGA calculation of a relaxed structure of Mo2IrBr, from Alexandria via LeMat-Bulk.

POSCAR file:
```
Mo2IrBr
1.0
-1.508 2.278 4.651
1.508 -2.278 4.651
1.508 2.278 -4.651
Mo Ir Br
2 1 1
Cartesian
0.000 0.000 2.164
0.000 0.000 7.137
0.000 2.278 0.000
1.508 0.000 0.000
```

Output
- Formation energy without anion corrections: 0.773 eV/atom
- M_tot: 0.00 μB per formula unit
- Crystal system: orthorhombic
- Distance to the lowest polymorph of the same formula: 386.0 meV/atom
- SG: Immm (71)

---

The following is a PBE-GGA calculation of a relaxed structure of AgBAsBr2, from Alexandria via LeMat-Bulk.

POSCAR file:
```
AgBAsBr2
1.0
5.412 0.000 0.000
0.000 5.412 0.000
0.000 0.000 5.042
Ag B As Br
1 1 1 2
Cartesian
0.000 0.000 0.000
2.706 2.706 2.521
0.000 0.000 2.521
0.000 2.706 0.000
2.706 0.000 0.000
```

Output
- Formation energy without anion corrections: 1.281 eV/atom
- M_tot: 1.78 μB per formula unit
- Crystal system: tetragonal
- Distance to the lowest polymorph of the same formula: 564.8 meV/atom
- SG: P4/mmm (123)

---

The following is a PBE-GGA calculation of a relaxed structure of Pr2YTl3S6, from Alexandria via LeMat-Bulk.

POSCAR file:
```
Pr2YTl3S6
1.0
3.602 -6.236 0.000
3.602 6.236 0.000
-2.399 0.000 7.500
Pr Y Tl S
2 1 3 6
Cartesian
3.602 4.157 0.000
3.602 -4.157 0.000
3.602 0.000 0.000
-1.200 0.000 3.750
2.402 2.085 3.750
2.402 -2.085 3.750
0.038 2.015 5.982
1.273 0.000 1.535
0.038 -2.015 5.982
4.767 2.015 1.518
3.531 0.000 5.965
4.767 -2.015 1.518
```

Output
- Formation energy without anion corrections: -1.458 eV/atom
- M_tot: 0.00 μB per formula unit
- Crystal system: monoclinic
- SG: C2/m (12)

---

The following is a PBE-GGA calculation of a relaxed structure of Nd3CoH, from Alexandria via LeMat-Bulk.

POSCAR file:
```
Nd3CoH
1.0
6.132 0.000 0.000
0.000 7.075 0.000
-2.901 0.000 5.536
Nd Co H
6 2 2
Cartesian
-0.950 1.769 2.752
1.521 3.572 0.853
1.521 7.040 0.853
1.710 0.035 4.683
1.710 3.503 4.683
4.181 5.306 2.784
0.913 5.306 2.799
2.318 1.769 2.737
-0.182 1.769 0.520
3.413 5.306 5.016
```

Output
- M_tot: 0.00 μB per formula unit
- Crystal system: monoclinic
- SG: P2_1/m (11)
- Raw total energy: -5.025 eV per atom

---

The following is a PBE-GGA calculation of a relaxed structure of La2AlAgC, from Alexandria via LeMat-Bulk.

POSCAR file:
```
La2AlAgC
1.0
5.393 0.000 0.000
0.000 5.393 0.000
0.000 0.000 3.972
La Al Ag C
2 1 1 1
Cartesian
0.000 2.697 0.000
2.697 0.000 0.000
0.000 0.000 1.986
2.697 2.697 1.986
0.000 0.000 0.000
```

Output
- M_tot: 0.00 μB per formula unit
- Crystal system: tetragonal
- SG: P4/mmm (123)
- Raw total energy: -5.315 eV per atom

---

The following is a PBE-GGA calculation of a relaxed structure of La2NdHo5, from Alexandria via LeMat-Bulk.

POSCAR file:
```
La2NdHo5
1.0
7.179 0.000 0.000
0.000 14.374 0.000
0.000 0.000 5.124
La Nd Ho
4 2 10
Cartesian
1.756 1.811 0.000
1.833 8.999 0.000
5.346 5.376 0.000
5.423 12.563 0.000
0.000 7.187 2.562
3.590 0.000 2.562
0.000 0.000 2.562
0.046 10.795 2.562
1.757 5.390 0.000
1.832 12.577 0.000
3.543 3.608 2.562
3.590 7.187 2.562
3.636 10.766 2.562
5.347 1.797 0.000
5.422 8.984 0.000
7.133 3.579 2.562
```

Output
- M_tot: 0.00 μB per formula unit
- Crystal system: orthorhombic
- Distance to the lowest polymorph of the same formula: 0.0 meV/atom
- SG: Pbam (55)

---

The following is a PBE-GGA calculation of a relaxed structure of Ho10Sn3Pb3, from Alexandria via LeMat-Bulk.

POSCAR file:
```
Ho10Sn3Pb3
1.0
8.968 0.000 0.000
-4.484 7.767 0.000
0.000 0.000 6.559
Ho Sn Pb
10 3 3
Cartesian
-1.063 1.842 0.000
-3.423 5.928 3.280
2.127 0.000 0.000
1.062 1.839 3.280
0.000 5.178 1.620
0.000 5.178 4.939
4.484 2.589 1.620
4.484 2.589 4.939
6.845 0.000 3.280
3.421 5.925 0.000
-2.715 4.703 0.000
1.769 3.064 0.000
5.431 0.000 0.000
-1.773 3.071 3.280
3.547 0.000 3.280
2.711 4.695 3.280
```

Output
- M_tot: 0.00 μB per formula unit
- Crystal system: hexagonal
- SG: P-62m (189)
- Raw total energy: -4.930 eV per atom

---

no.,calculated density (g/cm³)
1,5.5
2,12.1
3,4.0
4,5.8
5,6.8
6,6.1
7,7.8
8,9.5